(1)
CeCo2Ge2 | SCAN | single point on PBEsol structure

Computed properties:
- D(E_F) (states/eV/cell) = 5.0
- DFT formation energy (kJ/mol of formula units) = -284

abc: 5.666 5.666 5.666
angles: 138.66 138.66 59.89
Positions (direct):
Ce (0.000, 0.000, 0.000)
Co (0.250, 0.750, 0.500)
Co (0.750, 0.250, 0.500)
Ge (0.369, 0.369, 0.000)
Ge (0.631, 0.631, 0.000)

(2)
Ce2CoGe4Ru3 | SCAN | single point on PBEsol structure

Computed properties:
- D(E_F) (states/eV/cell) = 8.3
- DFT formation energy (kJ/mol of formula units) = -691

abc: 4.145 4.145 9.954
angles: 90.00 90.00 90.00
Positions (direct):
Ce (0.000, 0.500, 0.249)
Ce (0.500, 0.000, 0.751)
Co (0.000, 0.000, 0.500)
Ge (0.000, 0.500, 0.619)
Ge (0.000, 0.500, 0.875)
Ge (0.500, 0.000, 0.125)
Ge (0.500, 0.000, 0.381)
Ru (0.000, 0.000, 0.000)
Ru (0.500, 0.500, 0.000)
Ru (0.500, 0.500, 0.500)